Model i:
DFT (GGA-PBE) results for crystalline ScTiTe2 at its relaxed geometry.

Output
Density, g cm⁻³: 4.270

Geometry as CIF:
```
data_ScTiTe2
_symmetry_space_group_name_H-M 'I -4 2 d'
_symmetry_Int_Tables_number 122
_symmetry_space_group_name_Hall 'I -4 2bw'
_cell_length_a 6.356
_cell_length_b 6.356
_cell_length_c 13.400
_cell_angle_alpha 90.00
_cell_angle_beta 90.00
_cell_angle_gamma 90.00
loop_
_atom_site_label
_atom_site_type_symbol
_atom_site_fract_x
_atom_site_fract_y
_atom_site_fract_z
Sc1 Sc 0.000 0.000 0.000
Ti1 Ti 0.000 0.000 0.500
Te1 Te 0.239 0.250 0.625
```

---

Model ii:
DFT (GGA-PBE) results for crystalline ScTiTe2 at its relaxed geometry.

Output
Density, g cm⁻³: 6.546

Geometry as CIF:
```
data_ScTiTe2
_symmetry_space_group_name_H-M 'F m -3 m'
_symmetry_Int_Tables_number 225
_symmetry_space_group_name_Hall '-F 4 2 3'
_cell_length_a 7.068
_cell_length_b 7.068
_cell_length_c 7.068
_cell_angle_alpha 90.00
_cell_angle_beta 90.00
_cell_angle_gamma 90.00
loop_
_atom_site_label
_atom_site_type_symbol
_atom_site_fract_x
_atom_site_fract_y
_atom_site_fract_z
Sc1 Sc 0.000 0.000 0.000
Ti1 Ti 0.000 0.000 0.500
Te1 Te 0.250 0.250 0.250
```

---

Stability comparison, relative energies in eV/atom: model i 0.192; model ii 0.000

---

Model i:
DFT (GGA-PBE) results for crystalline ScTiTe2 at its relaxed geometry.

Output
Density, g cm⁻³: 5.231

Geometry as CIF:
```
data_ScTiTe2
_symmetry_space_group_name_H-M 'R -3 m'
_symmetry_Int_Tables_number 166
_symmetry_space_group_name_Hall '-R 3 2"'
_cell_length_a 3.7082
_cell_length_b 3.7082
_cell_length_c 27.8329
_cell_angle_alpha 90.00
_cell_angle_beta 90.00
_cell_angle_gamma 120.00
loop_
_atom_site_label
_atom_site_type_symbol
_atom_site_fract_x
_atom_site_fract_y
_atom_site_fract_z
Sc1 Sc 0.0000 0.0000 0.0000
Ti1 Ti 0.0000 0.0000 0.5000
Te1 Te 0.0000 0.0000 0.1036
```

---

Model ii:
DFT (GGA-PBE) results for crystalline ScTiTe2 at its relaxed geometry.

Output
Density, g cm⁻³: 4.725

Geometry as CIF:
```
data_ScTiTe2
_symmetry_space_group_name_H-M 'R -3 m'
_symmetry_Int_Tables_number 166
_symmetry_space_group_name_Hall '-R 3 2"'
_cell_length_a 3.9587
_cell_length_b 3.9587
_cell_length_c 27.0377
_cell_angle_alpha 90.00
_cell_angle_beta 90.00
_cell_angle_gamma 120.00
loop_
_atom_site_label
_atom_site_type_symbol
_atom_site_fract_x
_atom_site_fract_y
_atom_site_fract_z
Sc1 Sc 0.0000 0.0000 0.0000
Ti1 Ti 0.0000 0.0000 0.5000
Te1 Te 0.0000 0.0000 0.3989
```

---

Stability comparison, relative energies in eV/atom: model i 0.000; model ii 0.082

---

Model i:
DFT (GGA-PBE) results for crystalline ScTl3Te at its relaxed geometry.

Output
Density, g cm⁻³: 6.962

Geometry as CIF:
```
data_ScTl3Te
_symmetry_space_group_name_H-M 'P m -3 m'
_symmetry_Int_Tables_number 221
_symmetry_space_group_name_Hall '-P 4 2 3'
_cell_length_a 5.722
_cell_length_b 5.722
_cell_length_c 5.722
_cell_angle_alpha 90.00
_cell_angle_beta 90.00
_cell_angle_gamma 90.00
loop_
_atom_site_label
_atom_site_type_symbol
_atom_site_fract_x
_atom_site_fract_y
_atom_site_fract_z
Sc1 Sc 0.000 0.000 0.000
Tl1 Tl 0.000 0.000 0.500
Te1 Te 0.500 0.500 0.500
```

---

Model ii:
DFT (GGA-PBE) results for crystalline ScTl3Te at its relaxed geometry.

Output
Density, g cm⁻³: 6.078

Geometry as CIF:
```
data_ScTl3Te
_symmetry_space_group_name_H-M 'P m -3 m'
_symmetry_Int_Tables_number 221
_symmetry_space_group_name_Hall '-P 4 2 3'
_cell_length_a 5.988
_cell_length_b 5.988
_cell_length_c 5.988
_cell_angle_alpha 90.00
_cell_angle_beta 90.00
_cell_angle_gamma 90.00
loop_
_atom_site_label
_atom_site_type_symbol
_atom_site_fract_x
_atom_site_fract_y
_atom_site_fract_z
Sc1 Sc 0.000 0.000 0.000
Tl1 Tl 0.000 0.500 0.500
Te1 Te 0.500 0.500 0.500
```

---

Stability comparison, relative energies in eV/atom: model i 0.000; model ii 0.337

---

Model i:
DFT (GGA-PBE) results for crystalline Sc2TlTe2 at its relaxed geometry.

Output
Density, g cm⁻³: 7.209

Geometry as CIF:
```
data_Sc2TlTe2
_symmetry_space_group_name_H-M 'P 4/m b m'
_symmetry_Int_Tables_number 127
_symmetry_space_group_name_Hall '-P 4 2ab'
_cell_length_a 8.098
_cell_length_b 8.098
_cell_length_c 3.860
_cell_angle_alpha 90.00
_cell_angle_beta 90.00
_cell_angle_gamma 90.00
loop_
_atom_site_label
_atom_site_type_symbol
_atom_site_fract_x
_atom_site_fract_y
_atom_site_fract_z
Sc1 Sc 0.147 0.353 0.000
Tl1 Tl 0.000 0.000 0.000
Te1 Te 0.150 0.650 0.500
```

---

Model ii:
DFT (GGA-PBE) results for crystalline Sc2TlTe2 at its relaxed geometry.

Output
Density, g cm⁻³: 6.913

Geometry as CIF:
```
data_Sc2TlTe2
_symmetry_space_group_name_H-M 'P 4/m b m'
_symmetry_Int_Tables_number 127
_symmetry_space_group_name_Hall '-P 4 2ab'
_cell_length_a 8.483
_cell_length_b 8.483
_cell_length_c 3.669
_cell_angle_alpha 90.00
_cell_angle_beta 90.00
_cell_angle_gamma 90.00
loop_
_atom_site_label
_atom_site_type_symbol
_atom_site_fract_x
_atom_site_fract_y
_atom_site_fract_z
Sc1 Sc 0.141 0.359 0.000
Tl1 Tl 0.000 0.000 0.500
Te1 Te 0.145 0.645 0.500
```

---

Model iii:
DFT (GGA-PBE) results for crystalline Sc2TlTe2 at its relaxed geometry.

Output
Density, g cm⁻³: 5.704

Geometry as CIF:
```
data_Sc2TlTe2
_symmetry_space_group_name_H-M 'I 4/m m m'
_symmetry_Int_Tables_number 139
_symmetry_space_group_name_Hall '-I 4 2'
_cell_length_a 4.817
_cell_length_b 4.817
_cell_length_c 13.787
_cell_angle_alpha 90.00
_cell_angle_beta 90.00
_cell_angle_gamma 90.00
loop_
_atom_site_label
_atom_site_type_symbol
_atom_site_fract_x
_atom_site_fract_y
_atom_site_fract_z
Sc1 Sc 0.000 0.500 0.250
Tl1 Tl 0.000 0.000 0.000
Te1 Te 0.000 0.000 0.364
```

---

Stability comparison, relative energies in eV/atom: model i 0.000; model ii 0.083; model iii 0.106

---

Model i:
DFT (GGA-PBE) results for crystalline ScTl3Te3 at its relaxed geometry.

Output
Density, g cm⁻³: 6.727

Geometry as CIF:
```
data_ScTl3Te3
_symmetry_space_group_name_H-M 'I 41 3 2'
_symmetry_Int_Tables_number 214
_symmetry_space_group_name_Hall 'I 4bd 2c 3'
_cell_length_a 12.715
_cell_length_b 12.715
_cell_length_c 12.715
_cell_angle_alpha 90.00
_cell_angle_beta 90.00
_cell_angle_gamma 90.00
loop_
_atom_site_label
_atom_site_type_symbol
_atom_site_fract_x
_atom_site_fract_y
_atom_site_fract_z
Sc1 Sc 0.125 0.125 0.125
Tl1 Tl 0.122 0.128 0.625
Te1 Te 0.109 0.359 0.125
```

---

Model ii:
DFT (GGA-PBE) results for crystalline ScTl3Te3 at its relaxed geometry.

Output
Density, g cm⁻³: 6.705

Geometry as CIF:
```
data_ScTl3Te3
_symmetry_space_group_name_H-M 'C 1 2/m 1'
_symmetry_Int_Tables_number 12
_symmetry_space_group_name_Hall '-C 2y'
_cell_length_a 8.097
_cell_length_b 12.904
_cell_length_c 10.075
_cell_angle_alpha 90.00
_cell_angle_beta 101.58
_cell_angle_gamma 90.00
loop_
_atom_site_label
_atom_site_type_symbol
_atom_site_fract_x
_atom_site_fract_y
_atom_site_fract_z
Sc1 Sc 0.148 0.000 0.164
Tl1 Tl 0.000 0.155 0.500
Tl2 Tl 0.000 0.291 0.000
Tl3 Tl 0.110 0.500 0.374
Te1 Te 0.192 0.327 0.714
Te2 Te 0.208 0.000 0.898
```

---

Stability comparison, relative energies in eV/atom: model i 0.000; model ii 0.069

---

Model i:
DFT (GGA-PBE) results for crystalline ScTlTe4 at its relaxed geometry.

Output
Density, g cm⁻³: 6.569

Geometry as CIF:
```
data_ScTlTe4
_symmetry_space_group_name_H-M 'P 4/n b m'
_symmetry_Int_Tables_number 125
_cell_length_a 6.673
_cell_length_b 6.673
_cell_length_c 8.625
_cell_angle_alpha 90.00
_cell_angle_beta 90.00
_cell_angle_gamma 90.00
loop_
_symmetry_equiv_pos_as_xyz
'x,y,z'
'-x,-y,-z'
'-y+1/2,x,z'
'y+1/2,-x,-z'
'-x+1/2,-y+1/2,z'
'x+1/2,y+1/2,-z'
'y,-x+1/2,z'
'-y,x+1/2,-z'
'x,-y+1/2,-z'
'-x,y+1/2,z'
'-y+1/2,-x+1/2,-z'
'y+1/2,x+1/2,z'
'-x+1/2,y,-z'
'x+1/2,-y,z'
'y,x,-z'
'-y,-x,z'
loop_
_atom_site_label
_atom_site_type_symbol
_atom_site_fract_x
_atom_site_fract_y
_atom_site_fract_z
Sc1 Sc 0.250 0.250 0.000
Tl1 Tl 0.250 0.250 0.500
Te1 Te 0.099 0.599 0.203
```

---

Model ii:
DFT (GGA-PBE) results for crystalline ScTlTe4 at its relaxed geometry.

Output
Density, g cm⁻³: 6.795

Geometry as CIF:
```
data_ScTlTe4
_symmetry_space_group_name_H-M 'F -4 3 m'
_symmetry_Int_Tables_number 216
_symmetry_space_group_name_Hall 'F -4 2 3'
_cell_length_a 9.056
_cell_length_b 9.056
_cell_length_c 9.056
_cell_angle_alpha 90.00
_cell_angle_beta 90.00
_cell_angle_gamma 90.00
loop_
_atom_site_label
_atom_site_type_symbol
_atom_site_fract_x
_atom_site_fract_y
_atom_site_fract_z
Sc1 Sc 0.000 0.000 0.000
Tl1 Tl 0.250 0.250 0.250
Te1 Te 0.126 0.126 0.626
```

---

Stability comparison, relative energies in eV/atom: model i 0.000; model ii 0.797

---

Model i:
DFT (GGA-PBE) results for crystalline Tm2ScTe at its relaxed geometry.

Output
Density, g cm⁻³: 6.837

Geometry as CIF:
```
data_Tm2ScTe
_symmetry_space_group_name_H-M 'R -3 m'
_symmetry_Int_Tables_number 166
_symmetry_space_group_name_Hall '-R 3 2"'
_cell_length_a 3.7259
_cell_length_b 3.7259
_cell_length_c 30.9345
_cell_angle_alpha 90.00
_cell_angle_beta 90.00
_cell_angle_gamma 120.00
loop_
_atom_site_label
_atom_site_type_symbol
_atom_site_fract_x
_atom_site_fract_y
_atom_site_fract_z
Tm1 Tm 0.0000 0.0000 0.0989
Sc1 Sc 0.0000 0.0000 0.0000
Te1 Te 0.0000 0.0000 0.5000
```

---

Model ii:
DFT (GGA-PBE) results for crystalline Tm2ScTe at its relaxed geometry.

Output
Density, g cm⁻³: 7.998

Geometry as CIF:
```
data_Tm2ScTe
_symmetry_space_group_name_H-M 'P 4/m m m'
_symmetry_Int_Tables_number 123
_symmetry_space_group_name_Hall '-P 4 2'
_cell_length_a 3.899
_cell_length_b 3.899
_cell_length_c 6.972
_cell_angle_alpha 90.00
_cell_angle_beta 90.00
_cell_angle_gamma 90.00
loop_
_atom_site_label
_atom_site_type_symbol
_atom_site_fract_x
_atom_site_fract_y
_atom_site_fract_z
Tm1 Tm 0.000 0.000 0.247
Sc1 Sc 0.500 0.500 0.500
Te1 Te 0.500 0.500 0.000
```

---

Model iii:
DFT (GGA-PBE) results for crystalline Tm2ScTe at its relaxed geometry.

Output
Density, g cm⁻³: 7.302

Geometry as CIF:
```
data_Tm2ScTe
_symmetry_space_group_name_H-M 'R 3 m'
_symmetry_Int_Tables_number 160
_symmetry_space_group_name_Hall 'R 3 -2"'
_cell_length_a 3.7740
_cell_length_b 3.7740
_cell_length_c 28.2323
_cell_angle_alpha 90.00
_cell_angle_beta 90.00
_cell_angle_gamma 120.00
loop_
_atom_site_label
_atom_site_type_symbol
_atom_site_fract_x
_atom_site_fract_y
_atom_site_fract_z
Tm1 Tm 0.0000 0.0000 0.0000
Tm2 Tm 0.0000 0.0000 0.1815
Sc1 Sc 0.0000 0.0000 0.4236
Te1 Te 0.0000 0.0000 0.5907
```

---

Stability comparison, relative energies in eV/atom: model i 0.453; model ii 0.000; model iii 0.090

---

Model i:
DFT (GGA-PBE) results for crystalline Tm3ScTe3 at its relaxed geometry.

Output
Density, g cm⁻³: 8.297

Geometry as CIF:
```
data_Tm3ScTe3
_symmetry_space_group_name_H-M 'P n m a'
_symmetry_Int_Tables_number 62
_symmetry_space_group_name_Hall '-P 2ac 2n'
_cell_length_a 13.620
_cell_length_b 4.030
_cell_length_c 13.630
_cell_angle_alpha 90.00
_cell_angle_beta 90.00
_cell_angle_gamma 90.00
loop_
_atom_site_label
_atom_site_type_symbol
_atom_site_fract_x
_atom_site_fract_y
_atom_site_fract_z
Tm1 Tm 0.042 0.250 0.133
Tm2 Tm 0.158 0.750 0.519
Tm3 Tm 0.237 0.750 0.804
Sc1 Sc 0.071 0.250 0.700
Te1 Te 0.057 0.250 0.379
Te2 Te 0.122 0.250 0.920
Te3 Te 0.216 0.750 0.144
```

---

Model ii:
DFT (GGA-PBE) results for crystalline Tm3ScTe3 at its relaxed geometry.

Output
Density, g cm⁻³: 7.345

Geometry as CIF:
```
data_Tm3ScTe3
_symmetry_space_group_name_H-M 'R -3'
_symmetry_Int_Tables_number 148
_symmetry_space_group_name_Hall '-R 3'
_cell_length_a 6.9758
_cell_length_b 6.9758
_cell_length_c 30.0796
_cell_angle_alpha 90.00
_cell_angle_beta 90.00
_cell_angle_gamma 120.00
loop_
_atom_site_label
_atom_site_type_symbol
_atom_site_fract_x
_atom_site_fract_y
_atom_site_fract_z
Tm1 Tm 0.0013 0.6604 0.3787
Sc1 Sc 0.0000 0.0000 0.1669
Te1 Te 0.0008 0.6780 0.5560
```

---

Stability comparison, relative energies in eV/atom: model i 0.000; model ii 0.096

---

Model i:
DFT (GGA-PBE) results for crystalline TmScTe2 at its relaxed geometry.

Output
Density, g cm⁻³: 7.715

Geometry as CIF:
```
data_TmScTe2
_symmetry_space_group_name_H-M 'F m -3 m'
_symmetry_Int_Tables_number 225
_symmetry_space_group_name_Hall '-F 4 2 3'
_cell_length_a 7.392
_cell_length_b 7.392
_cell_length_c 7.392
_cell_angle_alpha 90.00
_cell_angle_beta 90.00
_cell_angle_gamma 90.00
loop_
_atom_site_label
_atom_site_type_symbol
_atom_site_fract_x
_atom_site_fract_y
_atom_site_fract_z
Tm1 Tm 0.000 0.000 0.000
Sc1 Sc 0.000 0.000 0.500
Te1 Te 0.250 0.250 0.250
```

---

Model ii:
DFT (GGA-PBE) results for crystalline TmScTe2 at its relaxed geometry.

Output
Density, g cm⁻³: 6.372

Geometry as CIF:
```
data_TmScTe2
_symmetry_space_group_name_H-M 'P 1 21 1'
_symmetry_Int_Tables_number 4
_symmetry_space_group_name_Hall 'P 2yb'
_cell_length_a 4.212
_cell_length_b 7.247
_cell_length_c 8.274
_cell_angle_alpha 90.00
_cell_angle_beta 104.53
_cell_angle_gamma 90.00
loop_
_atom_site_label
_atom_site_type_symbol
_atom_site_fract_x
_atom_site_fract_y
_atom_site_fract_z
Tm1 Tm 0.139 0.000 0.281
Sc1 Sc 0.468 0.159 0.935
Te1 Te 0.046 0.370 0.095
Te2 Te 0.296 0.249 0.586
```

---

Stability comparison, relative energies in eV/atom: model i 0.072; model ii 0.000

---

Model i:
DFT (GGA-PBE) results for crystalline TmScTe2 at its relaxed geometry.

Output
Density, g cm⁻³: 7.727

Geometry as CIF:
```
data_TmScTe2
_symmetry_space_group_name_H-M 'P 4/m m m'
_symmetry_Int_Tables_number 123
_symmetry_space_group_name_Hall '-P 4 2'
_cell_length_a 5.221
_cell_length_b 5.221
_cell_length_c 3.697
_cell_angle_alpha 90.00
_cell_angle_beta 90.00
_cell_angle_gamma 90.00
loop_
_atom_site_label
_atom_site_type_symbol
_atom_site_fract_x
_atom_site_fract_y
_atom_site_fract_z
Tm1 Tm 0.000 0.000 0.000
Sc1 Sc 0.500 0.500 0.000
Te1 Te 0.000 0.500 0.500
```

---

Model ii:
DFT (GGA-PBE) results for crystalline TmScTe2 at its relaxed geometry.

Output
Density, g cm⁻³: 7.251

Geometry as CIF:
```
data_TmScTe2
_symmetry_space_group_name_H-M 'R 3 m'
_symmetry_Int_Tables_number 160
_symmetry_space_group_name_Hall 'R 3 -2"'
_cell_length_a 4.0777
_cell_length_b 4.0777
_cell_length_c 22.3795
_cell_angle_alpha 90.00
_cell_angle_beta 90.00
_cell_angle_gamma 120.00
loop_
_atom_site_label
_atom_site_type_symbol
_atom_site_fract_x
_atom_site_fract_y
_atom_site_fract_z
Tm1 Tm 0.0000 0.0000 0.0000
Sc1 Sc 0.0000 0.0000 0.1717
Te1 Te 0.0000 0.0000 0.5809
Te2 Te 0.0000 0.0000 0.7564
```

---

Model iii:
DFT (GGA-PBE) results for crystalline TmScTe2 at its relaxed geometry.

Output
Density, g cm⁻³: 7.243

Geometry as CIF:
```
data_TmScTe2
_symmetry_space_group_name_H-M 'R -3 m'
_symmetry_Int_Tables_number 166
_symmetry_space_group_name_Hall '-R 3 2"'
_cell_length_a 4.2403
_cell_length_b 4.2403
_cell_length_c 20.7203
_cell_angle_alpha 90.00
_cell_angle_beta 90.00
_cell_angle_gamma 120.00
loop_
_atom_site_label
_atom_site_type_symbol
_atom_site_fract_x
_atom_site_fract_y
_atom_site_fract_z
Tm1 Tm 0.0000 0.0000 0.0000
Sc1 Sc 0.0000 0.0000 0.5000
Te1 Te 0.0000 0.0000 0.2468
```

---

Stability comparison, relative energies in eV/atom: model i 0.179; model ii 0.000; model iii 0.036